Below is crystalline Cs2Ti3Te6 at its relaxed geometry, with properties calculated at the GGA-PBE level.

Unit cell a=6.9084 b=6.9084 c=9.5355 alpha=96.99 beta=96.99 gamma=120.08
Last column: nearest neighbours and their distance in Å.
Atoms (fractional coordinates):
1 Cs 0.1659 0.8341 0.0000  6 Te 3.78, 3 Cs 3.97-3.99
2 Cs 0.8341 0.1659 0.0000  6 Te 3.78, 3 Cs 3.97-3.99
3 Ti 0.0000 0.0000 0.5000  6 Te 2.82-2.84
4 Ti 0.3303 0.6697 0.5000  6 Te 2.82-2.83
5 Ti 0.6697 0.3303 0.5000  6 Te 2.82-2.83
6 Te 0.0642 0.3932 0.6779  3 Ti 2.82-2.83
7 Te 0.2783 0.2783 0.3242  3 Ti 2.83-2.84
8 Te 0.3932 0.0642 0.6779  3 Ti 2.82-2.83
9 Te 0.6068 0.9358 0.3221  3 Ti 2.82-2.83
10 Te 0.7217 0.7217 0.6758  3 Ti 2.83-2.84
11 Te 0.9358 0.6068 0.3221  3 Ti 2.82-2.83

Summary:
For the uncorrected formation energy, the calculation gives -824.8 meV/atom. As for the total energy: -53.3 eV for the cell shown. As for the spin magnetization: 2.1 μB/cell.

Below is crystalline Sc3SnF at its relaxed geometry, with properties calculated at the GGA-PBE level.

Unit cell a=4.5502 b=4.5502 c=4.5502 alpha=90.00 beta=90.00 gamma=90.00
Last column: nearest neighbours and their distance in Å.
Atoms (fractional coordinates):
1 Sc 0.0000 0.0000 0.5000  2 F 2.28
2 Sc 0.0000 0.5000 0.0000  2 F 2.28
3 Sc 0.5000 0.0000 0.0000  2 F 2.28
4 Sn 0.5000 0.5000 0.5000  12 Sc 3.22
5 F 0.0000 0.0000 0.0000  6 Sc 2.28

Summary:
For the uncorrected formation energy, the calculation gives -1101.4 meV/atom. As for the total energy: -30.4 eV for the cell shown. As for the spin magnetization: 0.0 μB/cell.

Below is crystalline In2Co2Cu at its relaxed geometry, with properties calculated at the GGA-PBE level.

Unit cell a=4.9468 b=4.9468 c=7.1847 alpha=90.00 beta=90.00 gamma=90.00
Last column: nearest neighbours and their distance in Å.
Atoms (fractional coordinates):
1 In 0.0000 0.5000 0.2500  4 Co 2.58
2 In 0.0000 0.5000 0.7500  4 Co 2.58
3 In 0.5000 0.0000 0.2500  4 Co 2.58
4 In 0.5000 0.0000 0.7500  4 Co 2.58
5 Co 0.0000 0.0000 0.1499  1 Co 2.15
6 Co 0.0000 0.0000 0.8501  1 Co 2.15
7 Co 0.5000 0.5000 0.3501  1 Co 2.15
8 Co 0.5000 0.5000 0.6499  1 Co 2.15
9 Cu 0.0000 0.0000 0.5000  2 Co 2.52
10 Cu 0.5000 0.5000 0.0000  2 Co 2.52

Summary:
As for the total energy: -42.7 eV for the cell shown. As for the spin magnetization: 3.9 μB/cell. The value obtained for the formation energy is 489 meV/atom.

Below is crystalline Ac2MgInIr at its relaxed geometry, with properties calculated at the GGA-PBE level.

Unit cell a=8.4635 b=4.4410 c=8.5571 alpha=90.00 beta=110.10 gamma=90.00
Last column: nearest neighbours and their distance in Å.
Atoms (fractional coordinates):
1 Ac 0.0997 0.2500 0.3338  2 Ir 3.02
2 Ac 0.2786 0.2500 0.9753  3 Ir 3.00-3.18
3 Ac 0.7214 0.7500 0.0247  3 Ir 3.00-3.18
4 Ac 0.9003 0.7500 0.6662  2 Ir 3.02
5 Mg 0.4318 0.7500 0.3440  1 Ir 2.76, 2 In 3.03
6 Mg 0.5682 0.2500 0.6560  1 Ir 2.76, 2 In 3.03
7 In 0.3288 0.7500 0.6684  3 Mg 3.03-3.18
8 In 0.6712 0.2500 0.3316  3 Mg 3.03-3.18
9 Ir 0.1163 0.7500 0.1015  1 Mg 2.76, 4 Ac 3.00-3.02, 2 Ir 3.08
10 Ir 0.8837 0.2500 0.8985  1 Mg 2.76, 4 Ac 3.00-3.02, 2 Ir 3.08

Summary:
As for the total energy: -47.6 eV for the cell shown. As for the spin magnetization: 0.0 μB/cell. The value obtained for the formation energy is -483 meV/atom.

Q: What is the spin magnetization in the first record?
A: 2.1 μB/cell

Q: The highest spin magnetization belongs to which entry?
A: In2Co2Cu

Q: What is the spin magnetization in the third record?
A: 3.9 μB/cell